Record 1
# Ce2ZnSn4Pd3 (PBE, relaxed)
# Energy of formation = -0.63 eV/atom
# Mass density = 8.37 Mg/m³
# Space-group type = P-4m2 (115)
data_Ce2ZnSn4Pd3
_chemical_formula_sum 'Ce2 Zn1 Sn4 Pd3'
_cell_length_a 4.4781
_cell_length_b 4.4781
_cell_length_c 11.2780
_cell_angle_alpha 90.00
_cell_angle_beta 90.00
_cell_angle_gamma 90.00
_space_group_name_H-M_alt 'P 1'
_space_group_IT_number 1
loop_
_space_group_symop_operation_xyz
'x,y,z'
loop_
_atom_site_label
_atom_site_type_symbol
_atom_site_fract_x
_atom_site_fract_y
_atom_site_fract_z
Ce1 Ce 0.5000 0.0000 0.2561
Ce2 Ce 0.0000 0.5000 0.7439
Zn1 Zn 0.5000 0.5000 0.5000
Sn1 Sn 0.5000 0.5000 0.0000
Sn2 Sn 0.0000 0.0000 0.0000
Sn3 Sn 0.5000 0.0000 0.6348
Sn4 Sn 0.0000 0.5000 0.3652
Pd1 Pd 0.0000 0.0000 0.5000
Pd2 Pd 0.5000 0.0000 0.8653
Pd3 Pd 0.0000 0.5000 0.1347


Record 2
# ZrBeHg2 (PBE, relaxed)
# Energy of formation = 0.32 eV/atom
# Mass density = 10.47 Mg/m³
# Space-group type = Cmmm (65)
data_ZrBeHg2
_chemical_formula_sum 'Zr1 Be1 Hg2'
_cell_length_a 5.4005
_cell_length_b 5.4005
_cell_length_c 2.9523
_cell_angle_alpha 90.00
_cell_angle_beta 90.00
_cell_angle_gamma 112.50
_space_group_name_H-M_alt 'P 1'
_space_group_IT_number 1
loop_
_space_group_symop_operation_xyz
'x,y,z'
loop_
_atom_site_label
_atom_site_type_symbol
_atom_site_fract_x
_atom_site_fract_y
_atom_site_fract_z
Be1 Be 0.0000 0.5000 0.5000
Hg1 Hg 0.0000 0.0000 0.0000
Hg2 Hg 0.5000 0.5000 0.0000
Zr1 Zr 0.5000 0.0000 0.5000


no.,raw total energy (eV/cell),DOS at the Fermi energy (states/eV/cell)
1,-51.1,16.3
2,-11.6,2.4